[1]
# NaPr2Sn3Se6 (PBE, optimized geometry)
data_NaPr2Sn3Se6
_chemical_formula_sum 'Na2 Pr4 Sn6 Se12'
_cell_length_a 18.8022
_cell_length_b 4.3952
_cell_length_c 8.5463
_cell_angle_alpha 90.00
_cell_angle_beta 104.29
_cell_angle_gamma 90.00
_symmetry_space_group_name_H-M 'C 1 2/m 1'
_symmetry_Int_Tables_number 12
_symmetry_space_group_name_Hall '-C 2y'
loop_
_atom_site_label
_atom_site_type_symbol
_atom_site_fract_x
_atom_site_fract_y
_atom_site_fract_z
_atom_site_occupancy
Na1 Na 0.0000 0.0000 0.0000 1
Pr1 Pr 0.1650 0.5000 0.3277 1
Sn1 Sn 0.0000 0.0000 0.5000 1
Sn2 Sn 0.1594 0.5000 0.8544 1
Se1 Se 0.0037 0.5000 0.2536 1
Se2 Se 0.1682 0.0000 0.5745 1
Se3 Se 0.1709 0.0000 0.0845 1
# M_tot: 0.00 μB per formula unit
# formation energy without anion corrections: -1.015 eV/atom



[2]
# NaSr2Pr3Se6 (PBE, optimized geometry)
data_NaSr2Pr3Se6
_chemical_formula_sum 'Na2 Sr4 Pr6 Se12'
_cell_length_a 7.4278
_cell_length_b 12.8659
_cell_length_c 7.6162
_cell_angle_alpha 90.00
_cell_angle_beta 108.96
_cell_angle_gamma 90.00
_symmetry_space_group_name_H-M 'C 1 2/m 1'
_symmetry_Int_Tables_number 12
_symmetry_space_group_name_Hall '-C 2y'
loop_
_atom_site_label
_atom_site_type_symbol
_atom_site_fract_x
_atom_site_fract_y
_atom_site_fract_z
_atom_site_occupancy
Na1 Na 0.0000 0.0000 0.0000 1
Sr1 Sr 0.0000 0.3334 0.0000 1
Pr1 Pr 0.0000 0.1665 0.5000 1
Pr2 Pr 0.0000 0.5000 0.5000 1
Se1 Se 0.2452 0.0000 0.7435 1
Se2 Se 0.2490 0.3346 0.7430 1
# M_tot: 0.00 μB per formula unit
# formation energy without anion corrections: -1.851 eV/atom



[3]
# NaSr3Pr4Se8 (PBE, optimized geometry)
data_NaSr3Pr4Se8
_chemical_formula_sum 'Na3 Sr9 Pr12 Se24'
_cell_length_a 8.5908
_cell_length_b 8.5908
_cell_length_c 21.6113
_cell_angle_alpha 90.00
_cell_angle_beta 90.00
_cell_angle_gamma 120.00
_symmetry_space_group_name_H-M 'R -3 m'
_symmetry_Int_Tables_number 166
_symmetry_space_group_name_Hall '-R 3 2"'
loop_
_atom_site_label
_atom_site_type_symbol
_atom_site_fract_x
_atom_site_fract_y
_atom_site_fract_z
_atom_site_occupancy
Na1 Na 0.0000 0.0000 0.0000 1
Sr1 Sr 0.0000 0.5000 0.0000 1
Pr1 Pr 0.0000 0.0000 0.5000 1
Pr2 Pr 0.0000 0.5000 0.5000 1
Se1 Se 0.0000 0.0000 0.2479 1
Se2 Se 0.0019 0.5010 0.7523 1
# M_tot: 0.00 μB per formula unit
# formation energy without anion corrections: -1.871 eV/atom



[4]
# NaSr2PrSe4 (PBE, optimized geometry)
data_NaSr2PrSe4
_chemical_formula_sum 'Na1 Sr2 Pr1 Se4'
_cell_length_a 7.5352
_cell_length_b 4.3915
_cell_length_c 7.5502
_cell_angle_alpha 90.00
_cell_angle_beta 108.79
_cell_angle_gamma 90.00
_symmetry_space_group_name_H-M 'P 1 2/m 1'
_symmetry_Int_Tables_number 10
_symmetry_space_group_name_Hall '-P 2y'
loop_
_atom_site_label
_atom_site_type_symbol
_atom_site_fract_x
_atom_site_fract_y
_atom_site_fract_z
_atom_site_occupancy
Na1 Na 0.0000 0.0000 0.0000 1
Sr1 Sr 0.5000 0.0000 0.5000 1
Sr2 Sr 0.5000 0.5000 0.0000 1
Pr1 Pr 0.0000 0.5000 0.5000 1
Se1 Se 0.2377 0.0000 0.7421 1
Se2 Se 0.2440 0.5000 0.2570 1
# M_tot: 0.00 μB per formula unit
# formation energy without anion corrections: -1.844 eV/atom



[5]
# Na4Tb3PrSe8 (PBE, optimized geometry)
data_Na4Tb3PrSe8
_chemical_formula_sum 'Na12 Tb9 Pr3 Se24'
_cell_length_a 8.4065
_cell_length_b 8.4065
_cell_length_c 21.0403
_cell_angle_alpha 90.00
_cell_angle_beta 90.00
_cell_angle_gamma 120.00
_symmetry_space_group_name_H-M 'R -3 m'
_symmetry_Int_Tables_number 166
_symmetry_space_group_name_Hall '-R 3 2"'
loop_
_atom_site_label
_atom_site_type_symbol
_atom_site_fract_x
_atom_site_fract_y
_atom_site_fract_z
_atom_site_occupancy
Na1 Na 0.0000 0.0000 0.0000 1
Na2 Na 0.0000 0.5000 0.0000 1
Tb1 Tb 0.0000 0.5000 0.5000 1
Pr1 Pr 0.0000 0.0000 0.5000 1
Se1 Se 0.0000 0.0000 0.2431 1
Se2 Se 0.0077 0.5038 0.7557 1
# M_tot: 0.00 μB per formula unit
# formation energy without anion corrections: -1.697 eV/atom



[6]
# NaTb2Pr3Se6 (PBE, optimized geometry)
data_NaTb2Pr3Se6
_chemical_formula_sum 'Na2 Tb4 Pr6 Se12'
_cell_length_a 18.3475
_cell_length_b 4.1809
_cell_length_c 8.4298
_cell_angle_alpha 90.00
_cell_angle_beta 103.46
_cell_angle_gamma 90.00
_symmetry_space_group_name_H-M 'C 1 2/m 1'
_symmetry_Int_Tables_number 12
_symmetry_space_group_name_Hall '-C 2y'
loop_
_atom_site_label
_atom_site_type_symbol
_atom_site_fract_x
_atom_site_fract_y
_atom_site_fract_z
_atom_site_occupancy
Na1 Na 0.0000 0.0000 0.0000 1
Tb1 Tb 0.1652 0.5000 0.3382 1
Pr1 Pr 0.0000 0.0000 0.5000 1
Pr2 Pr 0.1608 0.5000 0.8249 1
Se1 Se 0.0054 0.5000 0.2456 1
Se2 Se 0.1678 0.0000 0.0927 1
Se3 Se 0.1701 0.0000 0.5765 1
# M_tot: 0.00 μB per formula unit
# formation energy without anion corrections: -1.777 eV/atom



[7]
# Na3Tb2PrSe6 (PBE, optimized geometry)
data_Na3Tb2PrSe6
_chemical_formula_sum 'Na6 Tb4 Pr2 Se12'
_cell_length_a 7.2999
_cell_length_b 12.6453
_cell_length_c 7.4278
_cell_angle_alpha 90.00
_cell_angle_beta 109.16
_cell_angle_gamma 90.00
_symmetry_space_group_name_H-M 'C 1 2/m 1'
_symmetry_Int_Tables_number 12
_symmetry_space_group_name_Hall '-C 2y'
loop_
_atom_site_label
_atom_site_type_symbol
_atom_site_fract_x
_atom_site_fract_y
_atom_site_fract_z
_atom_site_occupancy
Na1 Na 0.0000 0.0000 0.0000 1
Na2 Na 0.0000 0.3347 0.0000 1
Tb1 Tb 0.0000 0.1669 0.5000 1
Pr1 Pr 0.0000 0.5000 0.5000 1
Se1 Se 0.2356 0.0000 0.7330 1
Se2 Se 0.2486 0.3290 0.7325 1
# M_tot: 0.00 μB per formula unit
# formation energy without anion corrections: -1.695 eV/atom



[8]
# NaTbPr2Se4 (PBE, optimized geometry)
data_NaTbPr2Se4
_chemical_formula_sum 'Na1 Tb1 Pr2 Se4'
_cell_length_a 7.2968
_cell_length_b 4.1942
_cell_length_c 7.3045
_cell_angle_alpha 90.00
_cell_angle_beta 109.14
_cell_angle_gamma 90.00
_symmetry_space_group_name_H-M 'P 1 2/m 1'
_symmetry_Int_Tables_number 10
_symmetry_space_group_name_Hall '-P 2y'
loop_
_atom_site_label
_atom_site_type_symbol
_atom_site_fract_x
_atom_site_fract_y
_atom_site_fract_z
_atom_site_occupancy
Na1 Na 0.0000 0.0000 0.0000 1
Tb1 Tb 0.5000 0.5000 0.0000 1
Pr1 Pr 0.0000 0.5000 0.5000 1
Pr2 Pr 0.5000 0.0000 0.5000 1
Se1 Se 0.2517 0.5000 0.2420 1
Se2 Se 0.2559 0.0000 0.7632 1
# M_tot: 0.00 μB per formula unit
# formation energy without anion corrections: -1.755 eV/atom



[9]
# Na2Tb3PrSe6 (PBE, optimized geometry)
data_Na2Tb3PrSe6
_chemical_formula_sum 'Na4 Tb6 Pr2 Se12'
_cell_length_a 7.1847
_cell_length_b 12.4340
_cell_length_c 7.3017
_cell_angle_alpha 90.00
_cell_angle_beta 109.13
_cell_angle_gamma 90.00
_symmetry_space_group_name_H-M 'C 1 2/m 1'
_symmetry_Int_Tables_number 12
_symmetry_space_group_name_Hall '-C 2y'
loop_
_atom_site_label
_atom_site_type_symbol
_atom_site_fract_x
_atom_site_fract_y
_atom_site_fract_z
_atom_site_occupancy
Na1 Na 0.0000 0.1665 0.0000 1
Tb1 Tb 0.0000 0.0000 0.5000 1
Tb2 Tb 0.0000 0.3325 0.5000 1
Pr1 Pr 0.0000 0.5000 0.0000 1
Se1 Se 0.2459 0.1676 0.7406 1
Se2 Se 0.2476 0.5000 0.7381 1
# M_tot: 0.00 μB per formula unit
# formation energy without anion corrections: -1.734 eV/atom



[10]
# Na2TbPr3Se6 (PBE, optimized geometry)
data_Na2TbPr3Se6
_chemical_formula_sum 'Na4 Tb2 Pr6 Se12'
_cell_length_a 7.3298
_cell_length_b 12.6840
_cell_length_c 7.3250
_cell_angle_alpha 90.00
_cell_angle_beta 109.38
_cell_angle_gamma 90.00
_symmetry_space_group_name_H-M 'C 1 2/m 1'
_symmetry_Int_Tables_number 12
_symmetry_space_group_name_Hall '-C 2y'
loop_
_atom_site_label
_atom_site_type_symbol
_atom_site_fract_x
_atom_site_fract_y
_atom_site_fract_z
_atom_site_occupancy
Na1 Na 0.0000 0.1655 0.0000 1
Tb1 Tb 0.0000 0.5000 0.0000 1
Pr1 Pr 0.0000 0.0000 0.5000 1
Pr2 Pr 0.0000 0.3298 0.5000 1
Se1 Se 0.2432 0.5000 0.7529 1
Se2 Se 0.2439 0.3367 0.2417 1
# M_tot: 0.00 μB per formula unit
# formation energy without anion corrections: -1.728 eV/atom



[11]
# Na3PrTe2Se6 (PBE, optimized geometry)
data_Na3PrTe2Se6
_chemical_formula_sum 'Na6 Pr2 Te4 Se12'
_cell_length_a 7.9208
_cell_length_b 12.3979
_cell_length_c 7.4295
_cell_angle_alpha 90.00
_cell_angle_beta 112.28
_cell_angle_gamma 90.00
_symmetry_space_group_name_H-M 'C 1 2/m 1'
_symmetry_Int_Tables_number 12
_symmetry_space_group_name_Hall '-C 2y'
loop_
_atom_site_label
_atom_site_type_symbol
_atom_site_fract_x
_atom_site_fract_y
_atom_site_fract_z
_atom_site_occupancy
Na1 Na 0.0000 0.0000 0.0000 1
Na2 Na 0.0000 0.3318 0.0000 1
Pr1 Pr 0.0000 0.5000 0.5000 1
Te1 Te 0.0000 0.1723 0.5000 1
Se1 Se 0.2216 0.3226 0.7415 1
Se2 Se 0.2369 0.0000 0.7232 1
# M_tot: 0.00 μB per formula unit
# formation energy without anion corrections: -0.783 eV/atom



[12]
# NaPrTh2Se4 (PBE, optimized geometry)
data_NaPrTh2Se4
_chemical_formula_sum 'Na1 Pr1 Th2 Se4'
_cell_length_a 7.2490
_cell_length_b 4.1722
_cell_length_c 7.4303
_cell_angle_alpha 90.00
_cell_angle_beta 108.67
_cell_angle_gamma 90.00
_symmetry_space_group_name_H-M 'P 1 2/m 1'
_symmetry_Int_Tables_number 10
_symmetry_space_group_name_Hall '-P 2y'
loop_
_atom_site_label
_atom_site_type_symbol
_atom_site_fract_x
_atom_site_fract_y
_atom_site_fract_z
_atom_site_occupancy
Na1 Na 0.0000 0.0000 0.0000 1
Pr1 Pr 0.5000 0.5000 0.0000 1
Th1 Th 0.0000 0.5000 0.5000 1
Th2 Th 0.5000 0.0000 0.5000 1
Se1 Se 0.2428 0.0000 0.7519 1
Se2 Se 0.2447 0.5000 0.2484 1
# M_tot: 0.00 μB per formula unit
# formation energy without anion corrections: -1.581 eV/atom